(1)
First-principles (SCAN) data for Sr2Sc2B4O11 at its PBEsol-relaxed geometry, as listed in the Alexandria database.

```
19
Lattice="5.0847 0.0149 -0.0125 1.5818 6.0900 0.0308 0.0910 1.5466 7.0876" Properties=species:S:1:pos:R:3 pbc="T T T"
O 2.9907 2.5559 6.0119
O 4.3077 0.7865 2.0737
O 1.4992 4.2133 0.9618
O 3.3333 3.0524 0.0091
O 5.1316 2.8317 2.9797
O 1.6259 4.8197 4.1261
O 5.2584 3.4382 6.1440
O 2.4498 6.8649 5.0321
O 3.9700 5.3870 3.9631
O 3.7668 5.0955 1.0939
O 2.7875 2.2644 3.1427
Sc 5.3046 4.9316 2.5089
Sc 1.4529 2.7198 4.5969
B 2.8378 4.1619 0.7343
B 2.7000 5.6914 4.3348
B 3.9197 3.4895 6.3715
B 4.0575 1.9600 2.7710
Sr 1.4689 1.4467 1.1592
Sr 5.2886 6.2047 5.9466
```

Summary:
V: 219.0 Å³/cell
VASP energy: -12.2219 eV/atom
crystal system: triclinic

***

(2)
First-principles (SCAN) data for YScB2O6 at its PBEsol-relaxed geometry, as listed in the Alexandria database.

```
10
Lattice="4.8644 0.0000 0.0000 2.4322 4.2127 0.0000 2.4322 1.4042 5.2769" Properties=species:S:1:pos:R:3 pbc="T T T"
O 3.8132 1.3272 1.2634
O 5.6216 1.1574 4.0135
O 6.6729 2.6387 1.2634
O 5.9157 4.2898 4.0135
O 3.0559 2.9782 4.0135
O 4.1072 4.4595 1.2634
Sc 0.0000 0.0000 0.0000
Y 4.8644 2.8085 2.6385
B 7.2966 4.2127 4.0351
B 2.4322 1.4042 1.2418
```

Summary:
V: 108.1 Å³/cell
VASP energy: -12.7938 eV/atom
crystal system: trigonal

***

(3)
First-principles (SCAN) data for SiBO2 at its PBEsol-relaxed geometry, as listed in the Alexandria database.

```
4
Lattice="-1.8097 -1.5765 -0.6796 -0.0483 -2.3164 0.9242 -3.7944 0.4887 4.3926" Properties=species:S:1:pos:R:3 pbc="T T T"
O -2.9526 -3.2770 1.7308
O -2.6999 -0.1271 2.9064
Si 0.0000 0.0000 0.0000
B -2.8262 -1.7021 2.3186
```

Summary:
V: 30.4 Å³/cell
VASP energy: -8.7311 eV/atom
crystal system: trigonal

***

(4)
First-principles (SCAN) data for Si3BO at its PBEsol-relaxed geometry, as listed in the Alexandria database.

```
5
Lattice="4.0447 0.0000 0.0000 0.0000 4.0447 0.0000 0.0000 0.0000 4.0447" Properties=species:S:1:pos:R:3 pbc="T T T"
Si 0.0000 2.0224 0.0000
Si 0.0000 0.0000 2.0224
Si 2.0224 0.0000 0.0000
B 2.0224 2.0224 2.0224
O 0.0000 0.0000 0.0000
```

Summary:
V: 66.2 Å³/cell
VASP energy: -7.6486 eV/atom
crystal system: cubic

***

Which of these has the highest V? Sr2Sc2B4O11